Computed, not measured: crystalline TaCrB2 at its relaxed geometry at the PBE level of DFT.

Calculated values
Its electronic total energy is -9.18 eV per atom. Its energy of formation from the pure elements is -468 meV per atom.

Cell and atoms, written as CIF:
```
data_TaCrB2
_symmetry_space_group_name_H-M 'P n m a'
_symmetry_Int_Tables_number 62
_cell_length_a 5.5328
_cell_length_b 3.0849
_cell_length_c 9.5704
_cell_angle_alpha 90.00
_cell_angle_beta 90.00
_cell_angle_gamma 90.00
loop_
_symmetry_equiv_pos_as_xyz
'x,y,z'
'-x,-y,-z'
'-x+1/2,-y,z+1/2'
'x+1/2,y,-z+1/2'
'x+1/2,-y+1/2,-z+1/2'
'-x+1/2,y+1/2,z+1/2'
'-x,y+1/2,-z'
'x,-y+1/2,z'
loop_
_atom_site_label
_atom_site_type_symbol
_atom_site_fract_x
_atom_site_fract_y
_atom_site_fract_z
Ta1 Ta 0.1178 0.2500 0.1479
Cr1 Cr 0.1343 0.2500 0.4445
B1 B 0.0353 0.2500 0.6727
B2 B 0.2112 0.2500 0.8217
```